This record from Alexandria describes a relaxed Ce5ThPb6 crystal. The functional is PBE.

The formation energy is -8.83 kcal/mol of atoms. The value obtained for the theoretical density is 10.136 g cm⁻³. Its symmetry is Immm. The spin magnetization is 5.2 μB/f.u.

Cell lengths 5.976, 6.652, 10.020 Å; angles 109.39, 107.35, 90.00 degrees
Sites, in units of the cell vectors:
Ce 0.666 0.166 0.333
Ce 0.667 0.667 0.333
Pb 0.500 0.250 0.000
Th 0.000 0.000 0.000
Pb 0.833 0.583 0.666
Ce 0.000 0.500 0.000
Pb 0.833 0.083 0.666
Pb 0.167 0.917 0.334
Ce 0.333 0.333 0.667
Pb 0.500 0.750 0.000
Ce 0.334 0.834 0.667
Pb 0.167 0.417 0.334

=====

This record from Alexandria describes a relaxed CeTh3Pb crystal. The functional is PBE.

The formation energy is -0.27 kcal/mol of atoms. The value obtained for the theoretical density is 11.164 g cm⁻³. Its symmetry is C2/m. The spin magnetization is 0.0 μB/f.u.

Cell lengths 5.789, 6.809, 8.556 Å; angles 101.32, 109.77, 90.00 degrees
Sites, in units of the cell vectors:
Th 0.193 0.638 0.387
Th 0.986 0.747 0.972
Pb 0.397 0.545 0.794
Ce 0.806 0.922 0.613
Pb 0.603 0.455 0.206
Th 0.393 0.044 0.786
Ce 0.194 0.078 0.387
Th 0.014 0.253 0.028
Th 0.607 0.956 0.214
Th 0.807 0.362 0.613

=====

- What is the formula in the second record?
  CeTh3Pb

=====

- theoretical density of number 1 (Ce5ThPb6)?
  10.136 g cm⁻³

=====

- theoretical density of number 2 (CeTh3Pb)?
  11.164 g cm⁻³

=====

- Which formula does entry 1 have?
  Ce5ThPb6